one.
Entry from the Alexandria database: a relaxed PbSe2SBr crystal (PBE).

Calculated values
Theoretical density (g/cm3): 6.17
V (Å³/cell): 128.5

Geometry as CIF:
```
data_PbSe2SBr
_space_group_name_H-M_alt 'P 4/m m m'
_space_group_IT_number 123
_space_group_name_Hall '-P 4 2'
_cell_length_a 4.949
_cell_length_b 4.949
_cell_length_c 5.245
_cell_angle_alpha 90.00
_cell_angle_beta 90.00
_cell_angle_gamma 90.00
loop_
_atom_site_label
_atom_site_type_symbol
_atom_site_fract_x
_atom_site_fract_y
_atom_site_fract_z
Pb1 Pb 0.000 0.000 0.000
Se1 Se 0.000 0.500 0.500
S1 S 0.500 0.500 0.500
Br1 Br 0.500 0.500 0.000
```

=====

two.
Entry from the Alexandria database: a relaxed PbSe2SBr crystal (PBE).

Calculated values
Theoretical density (g/cm3): 4.40
V (Å³/cell): 179.9

Geometry as CIF:
```
data_PbSe2SBr
_space_group_name_H-M_alt 'P 4/m m m'
_space_group_IT_number 123
_space_group_name_Hall '-P 4 2'
_cell_length_a 5.601
_cell_length_b 5.601
_cell_length_c 5.735
_cell_angle_alpha 90.00
_cell_angle_beta 90.00
_cell_angle_gamma 90.00
loop_
_atom_site_label
_atom_site_type_symbol
_atom_site_fract_x
_atom_site_fract_y
_atom_site_fract_z
Pb1 Pb 0.000 0.000 0.000
Se1 Se 0.000 0.500 0.000
S1 S 0.500 0.500 0.500
Br1 Br 0.000 0.000 0.500
```

=====

Each structure's energy above the most stable one, in kJ/mol of atoms: one 0.0; two 63.4.

=====

one.
Entry from the Alexandria database: a relaxed SbPbBr2 crystal (PBE).

Calculated values
Theoretical density (g/cm3): 7.00
V (Å³/cell): 231.9

Geometry as CIF:
```
data_SbPbBr2
_space_group_name_H-M_alt 'C m m m'
_space_group_IT_number 65
_space_group_name_Hall '-C 2 2'
_cell_length_a 3.647
_cell_length_b 6.274
_cell_length_c 10.133
_cell_angle_alpha 90.00
_cell_angle_beta 90.00
_cell_angle_gamma 90.00
loop_
_atom_site_label
_atom_site_type_symbol
_atom_site_fract_x
_atom_site_fract_y
_atom_site_fract_z
Sb1 Sb 0.000 0.000 0.000
Pb1 Pb 0.000 0.000 0.500
Br1 Br 0.000 0.500 0.239
```

=====

two.
Entry from the Alexandria database: a relaxed SbPbBr2 crystal (PBE).

Calculated values
Theoretical density (g/cm3): 7.14
V (Å³/cell): 227.5

Geometry as CIF:
```
data_SbPbBr2
_space_group_name_H-M_alt 'C m m m'
_space_group_IT_number 65
_space_group_name_Hall '-C 2 2'
_cell_length_a 6.965
_cell_length_b 9.272
_cell_length_c 3.522
_cell_angle_alpha 90.00
_cell_angle_beta 90.00
_cell_angle_gamma 90.00
loop_
_atom_site_label
_atom_site_type_symbol
_atom_site_fract_x
_atom_site_fract_y
_atom_site_fract_z
Sb1 Sb 0.000 0.000 0.000
Pb1 Pb 0.000 0.500 0.000
Br1 Br 0.250 0.250 0.500
```

=====

Each structure's energy above the most stable one, in kJ/mol of atoms: one 0.0; two 11.9.

=====

one.
Entry from the Alexandria database: a relaxed SbPbBr2 crystal (PBE).

Calculated values
Theoretical density (g/cm3): 6.45
V (Å³/cell): 125.8

Geometry as CIF:
```
data_SbPbBr2
_space_group_name_H-M_alt 'P 1 m 1'
_space_group_IT_number 6
_cell_length_a 3.774
_cell_length_b 6.455
_cell_length_c 5.170
_cell_angle_alpha 90.00
_cell_angle_beta 92.51
_cell_angle_gamma 90.00
loop_
_space_group_symop_operation_xyz
'x,y,z'
'x,-y,z'
loop_
_atom_site_label
_atom_site_type_symbol
_atom_site_fract_x
_atom_site_fract_y
_atom_site_fract_z
Sb1 Sb 0.000 0.000 0.000
Pb1 Pb 0.773 0.500 0.015
Br1 Br 0.235 0.500 0.545
Br2 Br 0.723 0.000 0.496
```

=====

two.
Entry from the Alexandria database: a relaxed SbPbBr2 crystal (PBE).

Calculated values
Theoretical density (g/cm3): 7.22
V (Å³/cell): 449.6

Geometry as CIF:
```
data_SbPbBr2
_space_group_name_H-M_alt 'F -4 3 m'
_space_group_IT_number 216
_space_group_name_Hall 'F -4 2 3'
_cell_length_a 7.661
_cell_length_b 7.661
_cell_length_c 7.661
_cell_angle_alpha 90.00
_cell_angle_beta 90.00
_cell_angle_gamma 90.00
loop_
_atom_site_label
_atom_site_type_symbol
_atom_site_fract_x
_atom_site_fract_y
_atom_site_fract_z
Sb1 Sb 0.000 0.000 0.000
Pb1 Pb 0.250 0.250 0.250
Br1 Br 0.000 0.000 0.500
Br2 Br 0.250 0.250 0.750
```

=====

Each structure's energy above the most stable one, in kJ/mol of atoms: one 0.0; two 25.2.

=====

one.
Entry from the Alexandria database: a relaxed SbPbBr2 crystal (PBE).

Calculated values
Theoretical density (g/cm3): 6.40
V (Å³/cell): 380.4

Geometry as CIF:
```
data_SbPbBr2
_space_group_name_H-M_alt 'R 3 m'
_space_group_IT_number 160
_space_group_name_Hall 'R 3 -2"'
_cell_length_a 3.7422
_cell_length_b 3.7422
_cell_length_c 31.3630
_cell_angle_alpha 90.00
_cell_angle_beta 90.00
_cell_angle_gamma 120.00
loop_
_atom_site_label
_atom_site_type_symbol
_atom_site_fract_x
_atom_site_fract_y
_atom_site_fract_z
Sb1 Sb 0.0000 0.0000 0.0000
Pb1 Pb 0.0000 0.0000 0.2441
Br1 Br 0.0000 0.0000 0.5100
Br2 Br 0.0000 0.0000 0.7345
```

=====

two.
Entry from the Alexandria database: a relaxed SbPbBr2 crystal (PBE).

Calculated values
Theoretical density (g/cm3): 5.87
V (Å³/cell): 276.8

Geometry as CIF:
```
data_SbPbBr2
_space_group_name_H-M_alt 'I m m 2'
_space_group_IT_number 44
_cell_length_a 3.683
_cell_length_b 4.904
_cell_length_c 15.325
_cell_angle_alpha 90.00
_cell_angle_beta 90.00
_cell_angle_gamma 90.00
loop_
_space_group_symop_operation_xyz
'x,y,z'
'-x,-y,z'
'-x,y,z'
'x,-y,z'
'x+1/2,y+1/2,z+1/2'
'-x+1/2,-y+1/2,z+1/2'
'-x+1/2,y+1/2,z+1/2'
'x+1/2,-y+1/2,z+1/2'
loop_
_atom_site_label
_atom_site_type_symbol
_atom_site_fract_x
_atom_site_fract_y
_atom_site_fract_z
Sb1 Sb 0.000 0.000 0.000
Pb1 Pb 0.000 0.500 0.322
Br1 Br 0.000 0.000 0.503
Br2 Br 0.000 0.500 0.761
```

=====

Each structure's energy above the most stable one, in kJ/mol of atoms: one 14.3; two 0.0.

=====

one.
Entry from the Alexandria database: a relaxed Sb2PbBr crystal (PBE).

Calculated values
Theoretical density (g/cm3): 7.12
V (Å³/cell): 123.8

Geometry as CIF:
```
data_Sb2PbBr
_space_group_name_H-M_alt 'P 4 m m'
_space_group_IT_number 99
_cell_length_a 3.862
_cell_length_b 3.862
_cell_length_c 8.300
_cell_angle_alpha 90.00
_cell_angle_beta 90.00
_cell_angle_gamma 90.00
loop_
_space_group_symop_operation_xyz
'x,y,z'
'-y,x,z'
'-x,-y,z'
'y,-x,z'
'-x,y,z'
'y,x,z'
'x,-y,z'
'-y,-x,z'
loop_
_atom_site_label
_atom_site_type_symbol
_atom_site_fract_x
_atom_site_fract_y
_atom_site_fract_z
Sb1 Sb 0.000 0.000 0.000
Sb2 Sb 0.500 0.500 0.167
Pb1 Pb 0.500 0.500 0.739
Br1 Br 0.000 0.000 0.518
```

=====

two.
Entry from the Alexandria database: a relaxed Sb2PbBr crystal (PBE).

Calculated values
Theoretical density (g/cm3): 7.75
V (Å³/cell): 341.1

Geometry as CIF:
```
data_Sb2PbBr
_space_group_name_H-M_alt 'R -3 m'
_space_group_IT_number 166
_space_group_name_Hall '-R 3 2"'
_cell_length_a 3.5781
_cell_length_b 3.5781
_cell_length_c 30.7685
_cell_angle_alpha 90.00
_cell_angle_beta 90.00
_cell_angle_gamma 120.00
loop_
_atom_site_label
_atom_site_type_symbol
_atom_site_fract_x
_atom_site_fract_y
_atom_site_fract_z
Sb1 Sb 0.0000 0.0000 0.2477
Pb1 Pb 0.0000 0.0000 0.0000
Br1 Br 0.0000 0.0000 0.5000
```

=====

three.
Entry from the Alexandria database: a relaxed Sb2PbBr crystal (PBE).

Calculated values
Theoretical density (g/cm3): 7.78
V (Å³/cell): 226.6

Geometry as CIF:
```
data_Sb2PbBr
_space_group_name_H-M_alt 'C m m m'
_space_group_IT_number 65
_space_group_name_Hall '-C 2 2'
_cell_length_a 3.487
_cell_length_b 5.985
_cell_length_c 10.858
_cell_angle_alpha 90.00
_cell_angle_beta 90.00
_cell_angle_gamma 90.00
loop_
_atom_site_label
_atom_site_type_symbol
_atom_site_fract_x
_atom_site_fract_y
_atom_site_fract_z
Sb1 Sb 0.000 0.000 0.235
Pb1 Pb 0.000 0.500 0.500
Br1 Br 0.000 0.500 0.000
```

=====

four.
Entry from the Alexandria database: a relaxed Sb2PbBr crystal (PBE).

Calculated values
Theoretical density (g/cm3): 5.37
V (Å³/cell): 656.7

Geometry as CIF:
```
data_Sb2PbBr
_space_group_name_H-M_alt 'I -4 2 d'
_space_group_IT_number 122
_space_group_name_Hall 'I -4 2bw'
_cell_length_a 7.627
_cell_length_b 7.627
_cell_length_c 11.291
_cell_angle_alpha 90.00
_cell_angle_beta 90.00
_cell_angle_gamma 90.00
loop_
_atom_site_label
_atom_site_type_symbol
_atom_site_fract_x
_atom_site_fract_y
_atom_site_fract_z
Sb1 Sb 0.240 0.250 0.125
Pb1 Pb 0.000 0.000 0.000
Br1 Br 0.000 0.000 0.500
```

=====

Each structure's energy above the most stable one, in kJ/mol of atoms: one 0.0; two 27.2; three 26.1; four 47.8.

=====

one.
Entry from the Alexandria database: a relaxed Sb2PbBr crystal (PBE).

Calculated values
Theoretical density (g/cm3): 7.47
V (Å³/cell): 235.9

Geometry as CIF:
```
data_Sb2PbBr
_space_group_name_H-M_alt 'C 1 2/m 1'
_space_group_IT_number 12
_cell_length_a 6.110
_cell_length_b 11.565
_cell_length_c 3.391
_cell_angle_alpha 90.00
_cell_angle_beta 100.14
_cell_angle_gamma 90.00
loop_
_space_group_symop_operation_xyz
'x,y,z'
'-x,-y,-z'
'-x,y,-z'
'x,-y,z'
'x+1/2,y+1/2,z'
'-x+1/2,-y+1/2,-z'
'-x+1/2,y+1/2,-z'
'x+1/2,-y+1/2,z'
loop_
_atom_site_label
_atom_site_type_symbol
_atom_site_fract_x
_atom_site_fract_y
_atom_site_fract_z
Sb1 Sb 0.250 0.250 0.000
Pb1 Pb 0.000 0.000 0.500
Br1 Br 0.000 0.500 0.500
```

=====

two.
Entry from the Alexandria database: a relaxed Sb2PbBr crystal (PBE).

Calculated values
Theoretical density (g/cm3): 6.73
V (Å³/cell): 130.9

Geometry as CIF:
```
data_Sb2PbBr
_space_group_name_H-M_alt 'P 1 m 1'
_space_group_IT_number 6
_cell_length_a 3.410
_cell_length_b 4.333
_cell_length_c 8.860
_cell_angle_alpha 90.00
_cell_angle_beta 90.20
_cell_angle_gamma 90.00
loop_
_space_group_symop_operation_xyz
'x,y,z'
'x,-y,z'
loop_
_atom_site_label
_atom_site_type_symbol
_atom_site_fract_x
_atom_site_fract_y
_atom_site_fract_z
Sb1 Sb 0.000 0.000 0.000
Sb2 Sb 0.003 0.500 0.219
Pb1 Pb 0.508 0.000 0.476
Br1 Br 0.512 0.500 0.696
```

=====

Each structure's energy above the most stable one, in kJ/mol of atoms: one 20.4; two 0.0.